a.
LiMg7Pb4: optimized geometry, PBE.

```
LiMg7Pb4
1.0
-3.8684 3.3061 0.6016
1.3143 -1.5789 -4.6943
-8.3889 -10.0006 1.0150
Pb Mg Li
4 7 1
Direct
0.6667 0.3333 0.3620 Pb
0.3333 0.6667 0.9026 Pb
0.3333 0.6667 0.6380 Pb
0.6667 0.3333 0.0974 Pb
0.0000 0.0000 0.0000 Mg
0.6667 0.3333 0.6002 Mg
0.3333 0.6667 0.1541 Mg
0.0000 0.0000 0.7459 Mg
0.6667 0.3333 0.8459 Mg
0.0000 0.0000 0.2541 Mg
0.3333 0.6667 0.3998 Mg
0.0000 0.0000 0.5000 Li
```

Results
Theoretical density (kg/m3): 5610
D(E_F) (states/eV/cell): 6.0
Space group: No. 164

---

b.
LiMg7Pb4: optimized geometry, PBE.

```
LiMg7Pb4
1.0
-3.2625 2.3766 3.2685
0.2307 -4.4382 7.5840
3.8925 5.8690 3.7443
Pb Mg Li
4 7 1
Direct
0.2725 0.3155 0.1395 Pb
0.4436 0.7719 0.3408 Pb
0.7275 0.6845 0.8605 Pb
0.5564 0.2281 0.6592 Pb
0.2036 0.1264 0.4665 Mg
0.7964 0.8736 0.5335 Mg
0.5000 0.0000 0.0000 Mg
0.3582 0.5979 0.6858 Mg
0.8987 0.3326 0.8701 Mg
0.6418 0.4021 0.3142 Mg
0.1013 0.6674 0.1299 Mg
0.0000 0.0000 0.0000 Li
```

Results
Theoretical density (kg/m3): 5086
D(E_F) (states/eV/cell): 4.5
Space group: No. 12

---

Taking the most stable structure as the zero point, the relative energies in meV/atom are a 0; b 117.

---

a.
LiMg4Pb: optimized geometry, PBE.

```
LiMg4Pb
1.0
6.0520 0.6665 0.7766
2.4622 5.4729 2.0634
0.4881 0.0034 9.1676
Mg Li Pb
8 2 2
Direct
0.2582 0.2091 0.0629 Mg
0.7418 0.9673 0.5630 Mg
0.2418 0.7279 0.0629 Mg
0.2582 0.0327 0.4370 Mg
0.7582 0.4697 0.5630 Mg
0.7582 0.2721 0.9371 Mg
0.2418 0.5303 0.4370 Mg
0.7418 0.7909 0.9371 Mg
0.7500 0.8750 0.2500 Li
0.2500 0.1250 0.7500 Li
0.7500 0.3750 0.2500 Pb
0.2500 0.6250 0.7500 Pb
```

Results
Theoretical density (kg/m3): 3601
D(E_F) (states/eV/cell): 5.1
Space group: No. 70

---

b.
LiMg4Pb: optimized geometry, PBE.

```
LiMg4Pb
1.0
-4.7675 -0.2272 3.5573
-5.4176 1.0956 -2.2101
-3.9328 -4.4317 -0.5732
Mg Pb Li
4 1 1
Direct
0.8762 0.3746 0.3746 Mg
0.3746 0.8762 0.3746 Mg
0.3746 0.3746 0.3746 Mg
0.3746 0.3746 0.8762 Mg
0.7500 0.7500 0.7500 Pb
0.0000 0.0000 0.0000 Li
```

Results
Theoretical density (kg/m3): 3466
D(E_F) (states/eV/cell): 3.1
Space group: No. 216

---

Taking the most stable structure as the zero point, the relative energies in meV/atom are a 0; b 21.

---

a.
LiMg5Pb2: optimized geometry, PBE.

```
LiMg5Pb2
1.0
4.9109 0.0000 0.0000
-2.4555 4.2530 0.0000
0.0000 0.0000 19.0373
Pb Mg Li
4 10 2
Direct
0.3333 0.6667 0.1046 Pb
0.6667 0.3333 0.8954 Pb
0.6667 0.3333 0.6046 Pb
0.3333 0.6667 0.3954 Pb
0.3333 0.6667 0.7500 Mg
0.6667 0.3333 0.0535 Mg
0.3333 0.6667 0.5535 Mg
0.3333 0.6667 0.9465 Mg
0.0000 0.0000 0.8328 Mg
0.0000 0.0000 0.1672 Mg
0.0000 0.0000 0.6672 Mg
0.0000 0.0000 0.3328 Mg
0.6667 0.3333 0.2500 Mg
0.6667 0.3333 0.4465 Mg
0.3333 0.6667 0.2500 Li
0.6667 0.3333 0.7500 Li
```

Results
Theoretical density (kg/m3): 4534
D(E_F) (states/eV/cell): 3.8
Space group: No. 194

---

b.
LiMg5Pb2: optimized geometry, PBE.

```
LiMg5Pb2
1.0
-0.7733 0.2390 4.7246
4.6957 -4.5681 0.9997
4.5524 4.7895 0.5029
Mg Li Pb
5 1 2
Direct
0.0000 0.2751 0.2751 Mg
0.0000 0.7249 0.2751 Mg
0.5000 0.0000 0.0000 Mg
0.0000 0.7249 0.7249 Mg
0.0000 0.2751 0.7249 Mg
0.0000 0.0000 0.0000 Li
0.5000 0.0000 0.5000 Pb
0.5000 0.5000 0.0000 Pb
```

Results
Theoretical density (kg/m3): 4282
D(E_F) (states/eV/cell): 2.8
Space group: No. 123

---

Taking the most stable structure as the zero point, the relative energies in meV/atom are a 0; b 261.

---

a.
Li4Mg2Pb: optimized geometry, PBE.

```
Li4Mg2Pb
1.0
4.5685 0.0000 -1.0416
-0.1620 3.0417 -0.7106
-0.0808 0.7670 10.1853
Mg Li Pb
2 4 1
Direct
0.2086 0.2086 0.4172 Mg
0.7914 0.7914 0.5828 Mg
0.9330 0.4330 0.8661 Li
0.6368 0.6368 0.2735 Li
0.0670 0.5670 0.1339 Li
0.3632 0.3632 0.7265 Li
0.5000 0.0000 0.0000 Pb
```

Results
Theoretical density (kg/m3): 3272
D(E_F) (states/eV/cell): 2.8
Space group: No. 71

---

b.
Li4Mg2Pb: optimized geometry, PBE.

```
Li4Mg2Pb
1.0
7.2134 -0.3258 1.5980
-0.8825 8.5535 -1.3240
-1.6639 -5.4588 5.1612
Pb Li Mg
2 8 4
Direct
0.9404 0.4796 0.2418 Pb
0.1930 0.0916 0.9422 Pb
0.9524 0.6638 0.7855 Li
0.3463 0.8778 0.4834 Li
0.2913 0.0357 0.2849 Li
0.7341 0.8972 0.7227 Li
0.9506 0.1607 0.2803 Li
0.5288 0.4540 0.0940 Li
0.9379 0.8427 0.3187 Li
0.3059 0.6030 0.5868 Li
0.7220 0.2280 0.6440 Mg
0.5815 0.7172 0.9772 Mg
0.5978 0.2815 0.2974 Mg
0.1681 0.4174 0.8413 Mg
```

Results
Theoretical density (kg/m3): 3197
D(E_F) (states/eV/cell): 3.9
Space group: No. 1

---

Taking the most stable structure as the zero point, the relative energies in meV/atom are a 0; b 39.

---

a.
LiMg3Pb3: optimized geometry, PBE.

```
LiMg3Pb3
1.0
-2.8349 1.8163 -7.6906
-4.2841 -5.7534 -4.3619
-7.8794 0.8600 -1.4747
Pb Mg Li
6 6 2
Direct
0.9406 0.2691 0.1608 Pb
0.3704 0.0594 0.8392 Pb
0.6296 0.9406 0.1608 Pb
0.2691 0.6296 0.1608 Pb
0.0594 0.7309 0.8392 Pb
0.7309 0.3704 0.8392 Pb
0.7782 0.1117 0.6388 Mg
0.8883 0.5287 0.3612 Mg
0.5287 0.2218 0.3612 Mg
0.2218 0.8883 0.3612 Mg
0.1117 0.4713 0.6388 Mg
0.4713 0.7782 0.6388 Mg
0.6698 0.6698 0.9906 Li
0.3302 0.3302 0.0094 Li
```

Results
Theoretical density (kg/m3): 5924
D(E_F) (states/eV/cell): 8.3
Space group: No. 148

---

b.
LiMg3Pb3: optimized geometry, PBE.

```
LiMg3Pb3
1.0
-1.2207 -1.6296 6.8234
4.2420 -5.7087 -0.3457
5.5609 4.0143 1.9532
Mg Pb Li
6 6 2
Direct
0.6626 0.3374 0.0000 Mg
0.7352 0.7352 0.5000 Mg
0.7021 0.2979 0.5000 Mg
0.3374 0.6626 0.0000 Mg
0.2979 0.7021 0.5000 Mg
0.2648 0.2648 0.5000 Mg
0.5000 0.0000 0.7589 Pb
0.0000 0.0000 0.7479 Pb
0.0000 0.5000 0.2411 Pb
0.0000 0.0000 0.2521 Pb
0.5000 0.0000 0.2411 Pb
0.0000 0.5000 0.7589 Pb
0.2461 0.2461 0.0001 Li
0.7539 0.7539 0.9999 Li
```

Results
Theoretical density (kg/m3): 6447
D(E_F) (states/eV/cell): 4.5
Space group: No. 65

---

c.
LiMg3Pb3: optimized geometry, PBE.

```
LiMg3Pb3
1.0
-2.3351 6.5310 -4.2130
-3.0710 -4.8164 -5.7643
-7.1395 -0.0644 3.8574
Mg Pb Li
6 6 2
Direct
0.0000 0.7500 0.5000 Mg
0.5000 0.0000 0.2500 Mg
0.5000 0.0000 0.7500 Mg
0.2500 0.5000 0.0000 Mg
0.7500 0.5000 0.0000 Mg
0.0000 0.2500 0.5000 Mg
0.5000 0.7500 0.0000 Pb
0.5000 0.2500 0.0000 Pb
0.0000 0.5000 0.7500 Pb
0.7500 0.0000 0.5000 Pb
0.0000 0.5000 0.2500 Pb
0.2500 0.0000 0.5000 Pb
0.5000 0.5000 0.5000 Li
0.0000 0.0000 0.0000 Li
```

Results
Theoretical density (kg/m3): 4359
D(E_F) (states/eV/cell): 9.2
Space group: No. 223

---

Taking the most stable structure as the zero point, the relative energies in meV/atom are a 69; b 0; c 465.

---

a.
Li7MgPd2: optimized geometry, PBE.

```
Li7MgPd2
1.0
-1.8136 3.4995 2.6840
-5.9555 -0.1847 -3.7834
-0.1233 -4.3349 5.5687
Li Mg Pd
7 1 2
Direct
0.5000 0.0706 0.3231 Li
0.5000 0.5000 0.5000 Li
0.0000 0.3335 0.6665 Li
0.5000 0.6769 0.9294 Li
0.5000 0.9294 0.6769 Li
0.0000 0.6665 0.3335 Li
0.5000 0.3231 0.0706 Li
0.0000 0.0000 0.0000 Mg
0.5000 0.7099 0.2901 Pd
0.5000 0.2901 0.7099 Pd
```

Results
Theoretical density (kg/m3): 2171
D(E_F) (states/eV/cell): 4.2
Space group: No. 65

---

b.
Li7MgPd2: optimized geometry, PBE.

```
Li7MgPd2
1.0
2.8242 0.0000 0.0000
0.0000 4.9491 -1.1689
0.0000 0.2370 12.0655
Li Pd Mg
7 2 1
Direct
0.5000 0.6405 0.7857 Li
0.5000 0.1452 0.7857 Li
0.5000 0.3595 0.2143 Li
0.0000 0.2096 0.4193 Li
0.5000 0.8548 0.2143 Li
0.0000 0.7904 0.5807 Li
0.5000 0.5000 0.0000 Li
0.5000 0.6981 0.3962 Pd
0.5000 0.3019 0.6038 Pd
0.0000 0.0000 0.0000 Mg
```

Results
Theoretical density (kg/m3): 2800
D(E_F) (states/eV/cell): 5.1
Space group: No. 65

---

Taking the most stable structure as the zero point, the relative energies in meV/atom are a 117; b 0.